Entry 1:
Density functional theory data (PBE) for a geometry-optimized LaTb4Pr3 structure.

## Properties
Its excess energy over the best structure of this formula in the dataset is 0.093 eV/atom. The calculation puts the total energy at -4.60 eV/atom.

Geometry as CIF:
```
data_LaTb4Pr3
_space_group_name_H-M_alt 'I m m m'
_space_group_IT_number 71
_space_group_name_Hall '-I 2 2'
_cell_length_a 3.484
_cell_length_b 11.819
_cell_length_c 13.357
_cell_angle_alpha 90.00
_cell_angle_beta 90.00
_cell_angle_gamma 90.00
loop_
_atom_site_label
_atom_site_type_symbol
_atom_site_fract_x
_atom_site_fract_y
_atom_site_fract_z
La1 La 0.000 0.000 0.000
Tb1 Tb 0.000 0.251 0.135
Pr1 Pr 0.000 0.000 0.500
Pr2 Pr 0.000 0.500 0.258
```


Entry 2:
Density functional theory data (PBE) for a geometry-optimized SrSc structure.

## Properties
Its excess energy over the best structure of this formula in the dataset is 0.129 eV/atom. The calculation puts the total energy at -3.68 eV/atom.

Geometry as CIF:
```
data_SrSc
_space_group_name_H-M_alt 'I m m a'
_space_group_IT_number 74
_space_group_name_Hall '-I 2b 2'
_cell_length_a 3.862
_cell_length_b 6.166
_cell_length_c 12.122
_cell_angle_alpha 90.00
_cell_angle_beta 90.00
_cell_angle_gamma 90.00
loop_
_atom_site_label
_atom_site_type_symbol
_atom_site_fract_x
_atom_site_fract_y
_atom_site_fract_z
Sr1 Sr 0.000 0.250 0.107
Sc1 Sc 0.000 0.250 0.651
```


Entry 3:
Density functional theory data (PBE) for a geometry-optimized YCdF2 structure.

## Properties
Its excess energy over the best structure of this formula in the dataset is 0.558 eV/atom. The calculation puts the total energy at -4.56 eV/atom. The raw formation energy is -1.7837 eV per atom.

Geometry as CIF:
```
data_YCdF2
_space_group_name_H-M_alt 'F m -3 m'
_space_group_IT_number 225
_space_group_name_Hall '-F 4 2 3'
_cell_length_a 6.470
_cell_length_b 6.470
_cell_length_c 6.470
_cell_angle_alpha 90.00
_cell_angle_beta 90.00
_cell_angle_gamma 90.00
loop_
_atom_site_label
_atom_site_type_symbol
_atom_site_fract_x
_atom_site_fract_y
_atom_site_fract_z
Y1 Y 0.000 0.000 0.000
Cd1 Cd 0.000 0.000 0.500
F1 F 0.250 0.250 0.250
```


Entry 4:
Density functional theory data (PBE) for a geometry-optimized Sm2YIn3 structure.

## Properties
Its excess energy over the best structure of this formula in the dataset is 0.000 eV/atom. The calculation puts the total energy at -4.52 eV/atom.

Geometry as CIF:
```
data_Sm2YIn3
_space_group_name_H-M_alt 'C m m m'
_space_group_IT_number 65
_space_group_name_Hall '-C 2 2'
_cell_length_a 5.387
_cell_length_b 16.173
_cell_length_c 7.609
_cell_angle_alpha 90.00
_cell_angle_beta 90.00
_cell_angle_gamma 90.00
loop_
_atom_site_label
_atom_site_type_symbol
_atom_site_fract_x
_atom_site_fract_y
_atom_site_fract_z
Sm1 Sm 0.000 0.000 0.000
Sm2 Sm 0.000 0.000 0.500
Sm3 Sm 0.000 0.335 0.000
Y1 Y 0.000 0.333 0.500
In1 In 0.000 0.168 0.254
In2 In 0.000 0.500 0.255
```


Entry 5:
Density functional theory data (PBE) for a geometry-optimized TcP2O2 structure.

## Properties
Its excess energy over the best structure of this formula in the dataset is 0.993 eV/atom. The calculation puts the total energy at -5.60 eV/atom. The raw formation energy is 0.6211 eV per atom.

Geometry as CIF:
```
data_TcP2O2
_space_group_name_H-M_alt 'P 4/m m m'
_space_group_IT_number 123
_space_group_name_Hall '-P 4 2'
_cell_length_a 3.827
_cell_length_b 3.827
_cell_length_c 3.960
_cell_angle_alpha 90.00
_cell_angle_beta 90.00
_cell_angle_gamma 90.00
loop_
_atom_site_label
_atom_site_type_symbol
_atom_site_fract_x
_atom_site_fract_y
_atom_site_fract_z
Tc1 Tc 0.000 0.000 0.000
P1 P 0.000 0.500 0.500
O1 O 0.500 0.500 0.000
O2 O 0.500 0.500 0.500
```


Entry 6:
Density functional theory data (PBE) for a geometry-optimized Na2NpZnSe4 structure.

## Properties
The calculation puts the total energy at -4.81 eV/atom. The raw formation energy is -0.9572 eV per atom.

Geometry as CIF:
```
data_Na2NpZnSe4
_space_group_name_H-M_alt 'P 1 2/m 1'
_space_group_IT_number 10
_space_group_name_Hall '-P 2y'
_cell_length_a 7.031
_cell_length_b 4.027
_cell_length_c 7.408
_cell_angle_alpha 90.00
_cell_angle_beta 109.72
_cell_angle_gamma 90.00
loop_
_atom_site_label
_atom_site_type_symbol
_atom_site_fract_x
_atom_site_fract_y
_atom_site_fract_z
Na1 Na 0.000 0.000 0.000
Na2 Na 0.500 0.500 0.000
Np1 Np 0.000 0.500 0.500
Zn1 Zn 0.500 0.000 0.500
Se1 Se 0.236 0.000 0.737
Se2 Se 0.277 0.500 0.296
```


Entry 7:
Density functional theory data (PBE) for a geometry-optimized Ta2Nb6W structure.

## Properties
Its excess energy over the best structure of this formula in the dataset is 0.301 eV/atom. The calculation puts the total energy at -10.50 eV/atom.

Geometry as CIF:
```
data_Ta2Nb6W
_space_group_name_H-M_alt 'R -3 m'
_space_group_IT_number 166
_space_group_name_Hall '-R 3 2"'
_cell_length_a 4.5658
_cell_length_b 4.5658
_cell_length_c 28.5791
_cell_angle_alpha 90.00
_cell_angle_beta 90.00
_cell_angle_gamma 120.00
loop_
_atom_site_label
_atom_site_type_symbol
_atom_site_fract_x
_atom_site_fract_y
_atom_site_fract_z
Ta1 Ta 0.0000 0.0000 0.0986
Nb1 Nb 0.0000 0.0000 0.1949
Nb2 Nb 0.0000 0.0000 0.3004
Nb3 Nb 0.0000 0.0000 0.4052
W1 W 0.0000 0.0000 0.0000
```


Entry 8:
Density functional theory data (PBE) for a geometry-optimized Sr8Ag2Hg structure.

## Properties
Its excess energy over the best structure of this formula in the dataset is 0.000 eV/atom. The calculation puts the total energy at -1.94 eV/atom.

Geometry as CIF:
```
data_Sr8Ag2Hg
_space_group_name_H-M_alt 'C 1 2/m 1'
_space_group_IT_number 12
_space_group_name_Hall '-C 2y'
_cell_length_a 20.822
_cell_length_b 5.590
_cell_length_c 8.020
_cell_angle_alpha 90.00
_cell_angle_beta 105.37
_cell_angle_gamma 90.00
loop_
_atom_site_label
_atom_site_type_symbol
_atom_site_fract_x
_atom_site_fract_y
_atom_site_fract_z
Sr1 Sr 0.035 0.000 0.292
Sr2 Sr 0.093 0.500 0.951
Sr3 Sr 0.168 0.500 0.473
Sr4 Sr 0.208 0.000 0.827
Ag1 Ag 0.187 0.000 0.219
Hg1 Hg 0.000 0.500 0.500
```


Entry 9:
Density functional theory data (PBE) for a geometry-optimized TaAlOs2 structure.

## Properties
Its excess energy over the best structure of this formula in the dataset is 0.634 eV/atom. The calculation puts the total energy at -9.43 eV/atom.

Geometry as CIF:
```
data_TaAlOs2
_space_group_name_H-M_alt 'F -4 3 m'
_space_group_IT_number 216
_space_group_name_Hall 'F -4 2 3'
_cell_length_a 6.256
_cell_length_b 6.256
_cell_length_c 6.256
_cell_angle_alpha 90.00
_cell_angle_beta 90.00
_cell_angle_gamma 90.00
loop_
_atom_site_label
_atom_site_type_symbol
_atom_site_fract_x
_atom_site_fract_y
_atom_site_fract_z
Ta1 Ta 0.000 0.000 0.000
Al1 Al 0.250 0.250 0.750
Os1 Os 0.000 0.000 0.500
Os2 Os 0.250 0.250 0.250
```


Entry 10:
Density functional theory data (PBE) for a geometry-optimized AcGePt2 structure.

## Properties
The calculation puts the total energy at -6.10 eV/atom.

Geometry as CIF:
```
data_AcGePt2
_space_group_name_H-M_alt 'R -3 m'
_space_group_IT_number 166
_space_group_name_Hall '-R 3 2"'
_cell_length_a 4.3613
_cell_length_b 4.3613
_cell_length_c 16.3326
_cell_angle_alpha 90.00
_cell_angle_beta 90.00
_cell_angle_gamma 120.00
loop_
_atom_site_label
_atom_site_type_symbol
_atom_site_fract_x
_atom_site_fract_y
_atom_site_fract_z
Ac1 Ac 0.0000 0.0000 0.0000
Ge1 Ge 0.0000 0.0000 0.5000
Pt1 Pt 0.0000 0.0000 0.2092
```


Entry 11:
Density functional theory data (PBE) for a geometry-optimized AgHgIr2 structure.

## Properties
The calculation puts the total energy at -4.70 eV/atom.

Geometry as CIF:
```
data_AgHgIr2
_space_group_name_H-M_alt 'R -3 m'
_space_group_IT_number 166
_space_group_name_Hall '-R 3 2"'
_cell_length_a 2.8442
_cell_length_b 2.8442
_cell_length_c 28.5703
_cell_angle_alpha 90.00
_cell_angle_beta 90.00
_cell_angle_gamma 120.00
loop_
_atom_site_label
_atom_site_type_symbol
_atom_site_fract_x
_atom_site_fract_y
_atom_site_fract_z
Ag1 Ag 0.0000 0.0000 0.0000
Hg1 Hg 0.0000 0.0000 0.5000
Ir1 Ir 0.0000 0.0000 0.2510
```


Entry 12:
Density functional theory data (PBE) for a geometry-optimized Tl2SnBr5 structure.

## Properties
Its excess energy over the best structure of this formula in the dataset is 0.037 eV/atom. The calculation puts the total energy at -2.82 eV/atom. The raw formation energy is -0.6793 eV per atom.

Geometry as CIF:
```
data_Tl2SnBr5
_space_group_name_H-M_alt 'F m m m'
_space_group_IT_number 69
_space_group_name_Hall '-F 2 2'
_cell_length_a 5.669
_cell_length_b 13.316
_cell_length_c 16.743
_cell_angle_alpha 90.00
_cell_angle_beta 90.00
_cell_angle_gamma 90.00
loop_
_atom_site_label
_atom_site_type_symbol
_atom_site_fract_x
_atom_site_fract_y
_atom_site_fract_z
Tl1 Tl 0.000 0.000 0.186
Sn1 Sn 0.000 0.000 0.500
Br1 Br 0.000 0.000 0.000
Br2 Br 0.000 0.138 0.375
```


How do the records compare in calculated density? In the order shown, they have 7.23, 3.05, 5.87, 7.35, 5.50, 5.59, 10.65, 4.12, 15.96, 12.77, 17.25, 4.87 g/cm3.